A plane-wave DFT calculation with PBE was carried out for a relaxed CsFeCuSeS2 crystal.

The energy is -54.57 eV per cell. As for the space group: No. 63.

Unit cell a=8.103 b=8.103 c=9.640 alpha=90.00 beta=90.00 gamma=154.41
Positions (direct):
Cs  0.240  0.760  0.750
Cs  0.760  0.240  0.250
Fe  0.000  0.000  0.000
Fe  0.000  0.000  0.500
Cu  0.463  0.537  0.250
Cu  0.537  0.463  0.750
Se  0.063  0.937  0.250
Se  0.937  0.063  0.750
S  0.406  0.594  0.038
S  0.406  0.594  0.462
S  0.594  0.406  0.538
S  0.594  0.406  0.962

***

A plane-wave DFT calculation with PBE was carried out for a relaxed CsFeCuTe2S crystal.

The energy is -49.82 eV per cell. As for the space group: No. 63.

Unit cell a=8.497 b=8.497 c=10.189 alpha=90.00 beta=90.00 gamma=153.80
Positions (direct):
Cs  0.239  0.761  0.750
Cs  0.761  0.239  0.250
Fe  0.500  0.500  0.000
Fe  0.500  0.500  0.500
Cu  0.024  0.976  0.250
Cu  0.976  0.024  0.750
Te  0.106  0.894  0.037
Te  0.106  0.894  0.463
Te  0.894  0.106  0.537
Te  0.894  0.106  0.963
S  0.450  0.550  0.250
S  0.550  0.450  0.750

***

A plane-wave DFT calculation with PBE was carried out for a relaxed Cs2FeCu2Se4 crystal.

The energy is -73.96 eV per cell. As for the space group: No. 132.

Unit cell a=5.840 b=5.840 c=14.348 alpha=90.00 beta=90.00 gamma=90.00
Positions (direct):
Cs  0.243  0.243  0.000
Cs  0.243  0.757  0.500
Cs  0.757  0.243  0.500
Cs  0.757  0.757  0.000
Fe  0.500  0.500  0.250
Fe  0.500  0.500  0.750
Cu  0.000  0.500  0.250
Cu  0.000  0.500  0.750
Cu  0.500  0.000  0.250
Cu  0.500  0.000  0.750
Se  0.261  0.261  0.343
Se  0.261  0.261  0.657
Se  0.261  0.739  0.157
Se  0.261  0.739  0.843
Se  0.739  0.261  0.157
Se  0.739  0.261  0.843
Se  0.739  0.739  0.343
Se  0.739  0.739  0.657

***

A plane-wave DFT calculation with PBE was carried out for a relaxed CsFeCuTe3 crystal.

Its excess energy over the best structure of this formula in the dataset is 0 meV per atom. As for the space group: No. 62.

Unit cell a=17.115 b=4.003 c=10.530 alpha=90.00 beta=90.00 gamma=90.00
Positions (direct):
Cs  0.236  0.250  0.047
Cs  0.264  0.750  0.547
Cs  0.736  0.250  0.453
Cs  0.764  0.750  0.953
Fe  0.014  0.250  0.332
Fe  0.486  0.750  0.832
Fe  0.514  0.250  0.168
Fe  0.986  0.750  0.668
Cu  0.011  0.750  0.082
Cu  0.489  0.250  0.582
Cu  0.511  0.750  0.418
Cu  0.989  0.250  0.918
Te  0.066  0.250  0.569
Te  0.083  0.750  0.860
Te  0.109  0.750  0.273
Te  0.391  0.250  0.773
Te  0.417  0.250  0.360
Te  0.434  0.750  0.069
Te  0.566  0.250  0.931
Te  0.583  0.750  0.640
Te  0.609  0.750  0.227
Te  0.891  0.250  0.727
Te  0.917  0.250  0.140
Te  0.934  0.750  0.431

***

A plane-wave DFT calculation with PBE was carried out for a relaxed CsFeCuTe3 crystal.

Its excess energy over the best structure of this formula in the dataset is 56 meV per atom. As for the space group: No. 63.

Unit cell a=8.662 b=8.662 c=10.643 alpha=90.00 beta=90.00 gamma=153.55
Positions (direct):
Cs  0.243  0.757  0.750
Cs  0.757  0.243  0.250
Fe  0.000  0.000  0.000
Fe  0.000  0.000  0.500
Cu  0.460  0.540  0.250
Cu  0.540  0.460  0.750
Te  0.059  0.941  0.250
Te  0.397  0.603  0.031
Te  0.397  0.603  0.469
Te  0.603  0.397  0.531
Te  0.603  0.397  0.969
Te  0.941  0.059  0.750

***

A plane-wave DFT calculation with PBE was carried out for a relaxed CsFeCuTe3 crystal.

Its excess energy over the best structure of this formula in the dataset is 1 meV per atom. As for the space group: No. 11.

Unit cell a=9.312 b=3.994 c=10.490 alpha=90.00 beta=114.05 gamma=90.00
Positions (direct):
Cs  0.026  0.250  0.276
Cs  0.974  0.750  0.724
Fe  0.475  0.250  0.160
Fe  0.525  0.750  0.840
Cu  0.478  0.750  0.408
Cu  0.522  0.250  0.592
Te  0.284  0.750  0.146
Te  0.330  0.750  0.577
Te  0.366  0.250  0.885
Te  0.634  0.750  0.115
Te  0.670  0.250  0.423
Te  0.716  0.250  0.854

***

A plane-wave DFT calculation with PBE was carried out for a relaxed CsGdCu crystal.

Its excess energy over the best structure of this formula in the dataset is 0 meV per atom. As for the space group: No. 216.

Unit cell a=5.313 b=5.313 c=5.313 alpha=60.00 beta=60.00 gamma=60.00
Positions (direct):
Cs  0.000  0.000  0.000
Gd  0.500  0.500  0.500
Cu  0.250  0.250  0.250

***

A plane-wave DFT calculation with PBE was carried out for a relaxed CsGdCu crystal.

Its excess energy over the best structure of this formula in the dataset is 452 meV per atom. As for the space group: No. 216.

Unit cell a=5.058 b=5.058 c=5.058 alpha=60.00 beta=60.00 gamma=60.00
Positions (direct):
Cs  0.000  0.000  0.000
Gd  0.750  0.750  0.750
Cu  0.250  0.250  0.250

***

A plane-wave DFT calculation with PBE was carried out for a relaxed Cs2Gd4Cu4S9 crystal.

The energy is -99.07 eV per cell. As for the space group: No. 12.

Unit cell a=7.329 b=7.329 c=16.215 alpha=107.96 beta=107.96 gamma=31.68
Positions (direct):
Cs  0.028  0.028  0.271
Cs  0.972  0.972  0.729
Gd  0.231  0.231  0.103
Gd  0.347  0.347  0.447
Gd  0.653  0.653  0.553
Gd  0.769  0.769  0.897
Cu  0.247  0.247  0.727
Cu  0.430  0.430  0.038
Cu  0.570  0.570  0.962
Cu  0.753  0.753  0.273
S  0.000  0.000  0.500
S  0.140  0.140  0.927
S  0.292  0.292  0.598
S  0.337  0.337  0.276
S  0.394  0.394  0.879
S  0.606  0.606  0.121
S  0.663  0.663  0.724
S  0.708  0.708  0.402
S  0.860  0.860  0.073

***

A plane-wave DFT calculation with PBE was carried out for a relaxed CsGdCuS3 crystal.

The energy is -58.42 eV per cell. As for the space group: No. 11.

Unit cell a=9.354 b=4.013 c=9.729 alpha=90.00 beta=111.07 gamma=90.00
Positions (direct):
Cs  0.212  0.250  0.245
Cs  0.788  0.750  0.755
Gd  0.329  0.750  0.859
Gd  0.671  0.250  0.141
Cu  0.084  0.250  0.609
Cu  0.916  0.750  0.391
S  0.125  0.250  0.856
S  0.171  0.750  0.546
S  0.475  0.750  0.157
S  0.525  0.250  0.843
S  0.829  0.250  0.454
S  0.875  0.750  0.144

***

A plane-wave DFT calculation with PBE was carried out for a relaxed CsGd2Cu3S5 crystal.

The energy is -111.21 eV per cell. As for the space group: No. 63.

Unit cell a=7.322 b=7.322 c=16.907 alpha=90.00 beta=90.00 gamma=148.42
Positions (direct):
Cs  0.063  0.937  0.750
Cs  0.937  0.063  0.250
Gd  0.192  0.808  0.091
Gd  0.192  0.808  0.409
Gd  0.808  0.192  0.591
Gd  0.808  0.192  0.909
Cu  0.342  0.658  0.750
Cu  0.416  0.584  0.036
Cu  0.416  0.584  0.464
Cu  0.584  0.416  0.536
Cu  0.584  0.416  0.964
Cu  0.658  0.342  0.250
S  0.167  0.833  0.569
S  0.167  0.833  0.931
S  0.231  0.769  0.250
S  0.439  0.561  0.608
S  0.439  0.561  0.892
S  0.561  0.439  0.108
S  0.561  0.439  0.392
S  0.769  0.231  0.750
S  0.833  0.167  0.069
S  0.833  0.167  0.431

***

A plane-wave DFT calculation with PBE was carried out for a relaxed CsGd2CuSeS3 crystal.

Its excess energy over the best structure of this formula in the dataset is 28 meV per atom. As for the space group: No. 63.

Unit cell a=7.435 b=7.435 c=14.118 alpha=90.00 beta=90.00 gamma=148.11
Positions (direct):
Cs  0.113  0.887  0.750
Cs  0.887  0.113  0.250
Gd  0.366  0.634  0.557
Gd  0.366  0.634  0.943
Gd  0.634  0.366  0.057
Gd  0.634  0.366  0.443
Cu  0.172  0.828  0.250
Cu  0.828  0.172  0.750
Se  0.424  0.576  0.750
Se  0.576  0.424  0.250
S  0.000  0.000  0.000
S  0.000  0.000  0.500
S  0.254  0.746  0.105
S  0.254  0.746  0.395
S  0.746  0.254  0.605
S  0.746  0.254  0.895